MgZnMo2O8 | PBE with a Hubbard U | optimized geometry

```
data_MgZnMo2O8
_chemical_formula_sum 'Mg1 Zn1 Mo2 O8'
_cell_length_a 5.990
_cell_length_b 5.990
_cell_length_c 5.990
_cell_angle_alpha 113.80
_cell_angle_beta 113.80
_cell_angle_gamma 101.12
_space_group_name_H-M_alt 'P 1'
_space_group_IT_number 1
_space_group_name_Hall 'P 1'
loop_
_atom_site_label
_atom_site_type_symbol
_atom_site_fract_x
_atom_site_fract_y
_atom_site_fract_z
_atom_site_occupancy
Mg1 Mg 0.250 0.750 0.500 1
Mo1 Mo 0.750 0.250 0.500 1
Mo2 Mo 0.500 0.500 0.000 1
O1 O 0.887 0.164 0.276 1
O2 O 0.860 0.636 0.224 1
O3 O 0.836 0.113 0.724 1
O4 O 0.364 0.140 0.776 1
O5 O 0.389 0.113 0.276 1
O6 O 0.412 0.636 0.776 1
O7 O 0.887 0.611 0.724 1
O8 O 0.364 0.588 0.224 1
Zn1 Zn 0.000 0.000 0.000 1
```

Summary:
size of the total moment	0.00	μB/atom
space group	No. 119
volume	162.9	Å³ per cell
DFT total energy	-6.420	eV per atom